Here is an optimized crystal structure of Pr6TlRh2Br3 from Alexandria via LeMat-Bulk. Energies are from PBE.

Computed properties:
ρ ... 6.64 g/cm3
M_tot ... 0.00 μB per cell
Raw formation energy ... -0.943 eV/atom
Final energy ... -124.15 eV for the cell shown

Unit cell a=20.153 b=4.180 c=9.309 alpha=90.00 beta=107.49 gamma=90.00
Space group C2/m (No. 12)
One atom of each set of equivalent atoms:
Pr 0.025 0.000 0.265
Pr 0.165 0.500 0.133
Pr 0.182 0.500 0.567
Tl 0.000 0.500 0.000
Rh 0.171 0.000 0.347
Br 0.000 0.500 0.500
Br 0.166 0.000 0.844